# 1
# Te2RuAu

Crystalline Te2RuAu at its relaxed geometry (PBE-GGA, Alexandria).

a b c (Å): 3.1704 3.1704 9.2019
angles (deg): 90.00 90.00 90.01
Fractional coordinates of all 4 atoms:
Ru 0.5000 0.5000 0.7519
Au 0.0000 0.0000 0.5421
Te 0.5000 0.5000 0.2965
Te 0.0000 0.0000 0.9095

Output
* E_form (uncorrected): 0.697 eV/f.u.
* M_tot: 0.00 μB/cell
* symmetry: P4mm, No. 99
* relative energy among the computed polymorphs: 0.209 eV per atom

***

# 2
# Te2RuAu

Crystalline Te2RuAu at its relaxed geometry (PBE-GGA, Alexandria).

a b c (Å): 3.9452 6.9194 5.6862
angles (deg): 35.10 90.00 90.00
Fractional coordinates of all 4 atoms:
Ru 0.0000 0.0000 0.5000
Te 0.5000 0.5000 0.0000
Te 0.0000 0.0000 0.0000
Au 0.5000 0.5000 0.5000

Output
* E_form (uncorrected): 1.091 eV/f.u.
* M_tot: 0.00 μB/cell
* symmetry: P2/m, No. 10
* relative energy among the computed polymorphs: 0.307 eV per atom

***

# 3
# TeRuAu3

Crystalline TeRuAu3 at its relaxed geometry (PBE-GGA, Alexandria).

a b c (Å): 5.0390 5.0390 5.0390
angles (deg): 90.00 90.00 90.00
Site moments in Bohr magnetons follow the coordinates.
Fractional coordinates of all 5 atoms:
Te 0.5000 0.5000 0.5000  0.09
Ru 0.0000 0.0000 0.0000  1.87
Au 0.0000 0.0000 0.5000  0.24
Au 0.5000 0.0000 0.0000  0.02
Au 0.0000 0.5000 0.0000  0.12

Output
* E_form (uncorrected): 5.369 eV/f.u.
* M_tot: 2.44 μB/cell
* symmetry: Pm-3m, No. 221
* relative energy among the computed polymorphs: 0.000 eV per atom

***

# 4
# TeRuAu2

Crystalline TeRuAu2 at its relaxed geometry (PBE-GGA, Alexandria).

a b c (Å): 6.5695 6.5695 6.5695
angles (deg): 152.23 140.51 48.96
Fractional coordinates of all 4 atoms:
Ru 0.5166 0.5166 0.0000
Te 0.6860 0.1860 0.5000
Au 0.3196 0.8196 0.5000
Au 0.9778 0.9778 0.0000

Output
* E_form (uncorrected): 1.163 eV/f.u.
* M_tot: 0.00 μB/cell
* symmetry: Imm2, No. 44

***

# 5
# Te2RuAu

Crystalline Te2RuAu at its relaxed geometry (PBE-GGA, Alexandria).

a b c (Å): 5.6295 5.6295 5.6295
angles (deg): 136.59 136.59 63.06
Fractional coordinates of all 4 atoms:
Au 0.5000 0.5000 0.0000
Te 0.2500 0.7500 0.5000
Te 0.0000 0.0000 0.0000
Ru 0.7500 0.2500 0.5000

Output
* E_form (uncorrected): 2.209 eV/f.u.
* M_tot: 0.01 μB/cell
* symmetry: I-4m2, No. 119
* relative energy among the computed polymorphs: 0.587 eV per atom

***

# 6
# TeRuAu

Crystalline TeRuAu at its relaxed geometry (PBE-GGA, Alexandria).

a b c (Å): 6.4483 6.4483 3.1619
angles (deg): 75.81 75.81 28.38
Fractional coordinates of all 3 atoms:
Te 0.7013 0.7013 0.2987
Au 0.9760 0.9760 0.0240
Ru 0.3227 0.3227 0.6773

Output
* E_form (uncorrected): 0.703 eV/f.u.
* M_tot: 0.00 μB/cell
* symmetry: I4mm, No. 107
* relative energy among the computed polymorphs: 0.000 eV per atom

***

# 7
# TeRu2Au

Crystalline TeRu2Au at its relaxed geometry (PBE-GGA, Alexandria).

a b c (Å): 5.8324 5.8324 5.8324
angles (deg): 150.73 132.59 56.69
Fractional coordinates of all 4 atoms:
Au 0.2411 0.7411 0.5000
Ru 0.9684 0.9684 0.0000
Ru 0.7606 0.2606 0.5000
Te 0.5300 0.5300 0.0000

Output
* E_form (uncorrected): 1.908 eV/f.u.
* M_tot: 0.00 μB/cell
* symmetry: Imm2, No. 44

***

# 8
# TeRuAu

Crystalline TeRuAu at its relaxed geometry (PBE-GGA, Alexandria).

a b c (Å): 3.2599 3.2599 6.6687
angles (deg): 90.00 90.00 120.00
Fractional coordinates of all 3 atoms:
Ru 0.6667 0.3333 0.3507
Te 0.3333 0.6667 0.6173
Au 0.0000 0.0000 0.0320

Output
* E_form (uncorrected): 0.957 eV/f.u.
* M_tot: 0.00 μB/cell
* symmetry: P3m1, No. 156
* relative energy among the computed polymorphs: 0.085 eV per atom

***

# 9
# TeRu2Au

Crystalline TeRu2Au at its relaxed geometry (PBE-GGA, Alexandria).

a b c (Å): 4.9776 4.9776 4.8627
angles (deg): 79.34 79.34 36.01
Fractional coordinates of all 4 atoms:
Te 0.5125 0.5125 0.4502
Ru 0.2542 0.2542 0.2530
Ru 0.9907 0.9907 0.0168
Au 0.7425 0.7425 0.7800

Output
* E_form (uncorrected): 1.860 eV/f.u.
* M_tot: 0.00 μB/cell
* symmetry: Cm, No. 8

***

# 10
# TeRuAu2

Crystalline TeRuAu2 at its relaxed geometry (PBE-GGA, Alexandria).

a b c (Å): 3.7474 3.7503 5.5174
angles (deg): 90.00 90.00 90.00
Site moments in Bohr magnetons follow the coordinates.
Fractional coordinates of all 4 atoms:
Au 0.0000 0.0000 0.4900  0.04
Au 0.0000 0.0000 0.0100  0.04
Te 0.5000 0.5000 0.7500  0.02
Ru 0.5000 0.5000 0.2500  1.38

Output
* E_form (uncorrected): 1.916 eV/f.u.
* M_tot: 1.58 μB/cell
* symmetry: P4/mmm, No. 123

***

# 11
# TeRuAu4

Crystalline TeRuAu4 at its relaxed geometry (PBE-GGA, Alexandria).

a b c (Å): 5.5386 5.5386 5.5386
angles (deg): 60.00 60.00 60.00
Site moments in Bohr magnetons follow the coordinates.
Fractional coordinates of all 6 atoms:
Au 0.8742 0.3753 0.3753  0.03
Au 0.3753 0.3753 0.3753  0.03
Au 0.3753 0.8742 0.3753  0.03
Au 0.3753 0.3753 0.8742  0.03
Ru 0.7500 0.7500 0.7500  2.05
Te 0.0000 0.0000 0.0000  -0.01

Output
* E_form (uncorrected): 3.185 eV/f.u.
* M_tot: 2.28 μB/cell
* symmetry: F-43m, No. 216

***

# 12
# TeRu2Au

Crystalline TeRu2Au at its relaxed geometry (PBE-GGA, Alexandria).

a b c (Å): 5.5163 5.5163 7.5336
angles (deg): 68.52 68.52 90.00
Fractional coordinates of all 8 atoms:
Au 0.0000 0.0000 0.0000
Au 0.7500 0.2500 0.5000
Ru 0.1318 0.6250 0.2500
Ru 0.3750 0.3818 0.7500
Ru 0.6182 0.1250 0.2500
Ru 0.8750 0.8682 0.7500
Te 0.2500 0.7500 0.5000
Te 0.5000 0.5000 0.0000

Output
* E_form (uncorrected): 3.930 eV/f.u.
* M_tot: 0.00 μB/cell
* symmetry: I-42d, No. 122

***

# 13
# TeRu2Au

Crystalline TeRu2Au at its relaxed geometry (PBE-GGA, Alexandria).

a b c (Å): 2.9312 2.9312 8.5352
angles (deg): 90.00 90.00 90.00
Fractional coordinates of all 4 atoms:
Ru 0.5000 0.5000 0.2152
Ru 0.0000 0.0000 0.0298
Te 0.0000 0.0000 0.4612
Au 0.5000 0.5000 0.7939

Output
* E_form (uncorrected): 1.499 eV/f.u.
* M_tot: 0.00 μB/cell
* symmetry: P4mm, No. 99

***

# 14
# Te2RuWAu

Crystalline Te2RuWAu at its relaxed geometry (PBE-GGA, Alexandria).

a b c (Å): 5.1505 4.8293 5.1505
angles (deg): 90.00 90.00 90.00
Site moments in Bohr magnetons follow the coordinates.
Fractional coordinates of all 5 atoms:
W 0.0000 0.5000 0.0000  2.03
Te 0.5000 0.0000 0.0000  -0.06
Te 0.0000 0.0000 0.5000  -0.05
Ru 0.0000 0.0000 0.0000  -0.14
Au 0.5000 0.5000 0.5000  0.00

Output
* E_form (uncorrected): 6.391 eV/f.u.
* M_tot: 2.33 μB/cell
* symmetry: P4/mmm, No. 123

***

# 15
# Th5Ru2Au2

Crystalline Th5Ru2Au2 at its relaxed geometry (PBE-GGA, Alexandria).

a b c (Å): 6.6171 7.2729 10.9305
angles (deg): 109.43 107.62 90.00
Fractional coordinates of all 18 atoms:
Th 0.0953 0.1383 0.8493
Th 0.9047 0.2890 0.1507
Th 0.4856 0.1944 0.6761
Th 0.7459 0.7890 0.1507
Th 0.3095 0.0183 0.3239
Th 0.0780 0.7354 0.5000
Th 0.2541 0.6383 0.8493
Th 0.5144 0.5183 0.3239
Th 0.9220 0.2354 0.5000
Th 0.6905 0.6944 0.6761
Au 0.1773 0.6137 0.1186
Au 0.4413 0.1137 0.1186
Au 0.8227 0.4951 0.8814
Au 0.5587 0.9951 0.8814
Ru 0.3044 0.4171 0.5000
Ru 0.5000 0.4350 0.0000
Ru 0.6956 0.9171 0.5000
Ru 0.0000 0.9350 0.0000

Output
* M_tot: 0.00 μB/cell
* energy of formation from the pure elements: -43 kJ/mol of atoms
* symmetry: Ima2, No. 46

***

# 16
# Th6RuAu3

Crystalline Th6RuAu3 at its relaxed geometry (PBE-GGA, Alexandria).

a b c (Å): 6.5364 8.1846 10.7122
angles (deg): 90.00 88.84 90.00
Fractional coordinates of all 20 atoms:
Au 0.4183 0.1322 0.2522
Au 0.0000 0.0000 0.5000
Au 0.5000 0.5000 0.0000
Au 0.9183 0.3678 0.7522
Au 0.5817 0.8678 0.7478
Au 0.0817 0.6322 0.2478
Th 0.1405 0.3424 0.4281
Th 0.3595 0.8424 0.0719
Th 0.8595 0.6576 0.5719
Th 0.6164 0.1820 0.5752
Th 0.6600 0.4577 0.2603
Th 0.8836 0.6820 0.9248
Th 0.1164 0.3180 0.0752
Th 0.1600 0.0423 0.7603
Th 0.8400 0.9577 0.2397
Th 0.3836 0.8180 0.4248
Th 0.6405 0.1576 0.9281
Th 0.3400 0.5423 0.7397
Ru 0.0000 0.0000 0.0000
Ru 0.5000 0.5000 0.5000

Output
* M_tot: 0.00 μB/cell
* energy of formation from the pure elements: -36 kJ/mol of atoms
* symmetry: P2_1/c, No. 14

***

# 17
# Th7Ru2Au2

Crystalline Th7Ru2Au2 at its relaxed geometry (PBE-GGA, Alexandria).

a b c (Å): 6.8627 6.9834 6.8627
angles (deg): 90.00 106.65 90.00
Fractional coordinates of all 11 atoms:
Th 0.0000 0.0000 0.0000
Th 0.0000 0.2653 0.5000
Th 0.5000 0.2667 0.5000
Th 0.0000 0.7347 0.5000
Th 0.5000 0.7347 0.0000
Th 0.5000 0.2653 0.0000
Th 0.5000 0.7333 0.5000
Ru 0.7176 0.0001 0.2824
Ru 0.2824 0.9999 0.7176
Au 0.8311 0.5000 0.8311
Au 0.1689 0.5000 0.1689

Output
* M_tot: 0.00 μB/cell
* energy of formation from the pure elements: -21 kJ/mol of atoms
* symmetry: Cmmm, No. 65
* relative energy among the computed polymorphs: 0.208 eV per atom

***

# 18
# Th4RuAu

Crystalline Th4RuAu at its relaxed geometry (PBE-GGA, Alexandria).

a b c (Å): 6.8575 7.3638 8.6073
angles (deg): 108.60 106.35 105.86
Fractional coordinates of all 12 atoms:
Th 0.5550 0.2879 0.1033
Th 0.7146 0.0338 0.4324
Th 0.7822 0.6014 0.5676
Th 0.9517 0.1847 0.8967
Th 0.2178 0.3986 0.4324
Th 0.0483 0.8153 0.1033
Th 0.4450 0.7121 0.8967
Th 0.2854 0.9662 0.5676
Ru 0.1706 0.9206 0.8412
Ru 0.8294 0.0794 0.1588
Au 0.6473 0.3973 0.7946
Au 0.3527 0.6027 0.2054

Output
* M_tot: 0.00 μB/cell
* energy of formation from the pure elements: -24 kJ/mol of atoms
* symmetry: C2/c, No. 15
* relative energy among the computed polymorphs: 0.167 eV per atom

***

# 19
# Th6Ru4Au

Crystalline Th6Ru4Au at its relaxed geometry (PBE-GGA, Alexandria).

a b c (Å): 4.0871 7.0684 20.6983
angles (deg): 90.00 90.00 106.80
Fractional coordinates of all 22 atoms:
Ru 0.8640 0.7280 0.5459
Ru 0.8640 0.7280 0.9541
Ru 0.6037 0.2073 0.6303
Ru 0.3963 0.7927 0.3697
Ru 0.1360 0.2720 0.0459
Ru 0.1360 0.2720 0.4541
Ru 0.6037 0.2073 0.8697
Ru 0.3963 0.7927 0.1303
Au 0.6597 0.3195 0.2500
Au 0.3403 0.6805 0.7500
Th 0.7652 0.5303 0.4146
Th 0.9610 0.9221 0.8405
Th 0.2348 0.4697 0.9146
Th 0.5000 0.0000 0.5000
Th 0.5000 0.0000 0.0000
Th 0.2348 0.4697 0.5854
Th 0.0390 0.0779 0.1595
Th 0.0390 0.0779 0.3405
Th 0.3374 0.6749 0.2500
Th 0.9610 0.9221 0.6595
Th 0.6626 0.3251 0.7500
Th 0.7652 0.5303 0.0854

Output
* M_tot: 0.00 μB/cell
* energy of formation from the pure elements: -48 kJ/mol of atoms
* symmetry: Cmcm, No. 63

***

# 20
# Th3RuAu2

Crystalline Th3RuAu2 at its relaxed geometry (PBE-GGA, Alexandria).

a b c (Å): 4.2719 4.2747 9.4087
angles (deg): 103.10 103.10 90.11
Fractional coordinates of all 6 atoms:
Ru 0.4343 0.4358 0.8740
Th 0.5861 0.5876 0.1778
Th 0.9343 0.9358 0.8740
Th 0.2823 0.2837 0.5701
Au 0.1093 0.1108 0.2243
Au 0.7590 0.7605 0.5236

Output
* M_tot: 0.00 μB/cell
* energy of formation from the pure elements: -50 kJ/mol of atoms
* symmetry: Fmmm, No. 69